The following is a DFT calculation (GGA-PBE) of Mg3VNi after structural relaxation.

Values from the calculation:
Energy above the most stable polymorph in this dataset (meV per atom): 0
Formation energy from the elements (kJ per mole of atoms): 49.5
Spin magnetization (Bohr magnetons per cell): 4.0

Lattice parameters (Å, degrees): 4.7362 4.7362 4.7362 90.00 90.00 90.00
With the nearest neighbours (Å) after each atom.
Space group Pm-3m (No. 221)
Asymmetric unit:
Mg 0.0000 0.0000 0.5000 (multiplicity 3)  2 Ni 2.37
V 0.5000 0.5000 0.5000 (multiplicity 1)  12 Mg 3.35
Ni 0.0000 0.0000 0.0000 (multiplicity 1)  6 Mg 2.37

***

The following is a DFT calculation (GGA-PBE) of La2NdHoH after structural relaxation.

Values from the calculation:
Spin magnetization (Bohr magnetons per cell): 0.0
Calculated total energy (eV per atom): -4.686

Lattice parameters (Å, degrees): 5.2179 5.2179 5.1005 90.00 90.00 90.00
With the nearest neighbours (Å) after each atom.
Space group P4/mmm (No. 123)
Asymmetric unit:
La 0.0000 0.5000 0.0000 (multiplicity 2)  2 H 2.61
Nd 0.0000 0.0000 0.5000 (multiplicity 1)  8 La 3.65, 4 Ho 3.69
Ho 0.5000 0.5000 0.5000 (multiplicity 1)  2 H 2.55
H 0.5000 0.5000 0.0000 (multiplicity 1)  2 Ho 2.55, 4 La 2.61

***

For reference, V by record: 106.2; 138.9 Å³/cell.